Entry 1:
Here is an optimized crystal structure of NbPd2Se6 from Alexandria. Energies are from GGA-PBE.

Its total magnetic moment is 0.00 μB per cell. The value obtained for the formation energy without anion corrections is -0.3824 eV/atom. The energy above the most stable polymorph in this dataset comes out at 0 meV per atom.

The structure belongs to space group C2/m (No. 12); the cell edges are 13.739, 3.688 and 8.484 Å and the angles 90.00°, 104.98° and 90.00°. The inequivalent atoms are Nb at (0.000, 0.000, 0.000), Pd at (0.165, 0.500, 0.327), Se at (0.028, 0.500, 0.794), Se at (0.152, 0.000, 0.524) and Se at (0.193, 0.000, 0.132).

---

Entry 2:
Here is an optimized crystal structure of K2AuF5 from Alexandria. Energies are from GGA-PBE.

Its total magnetic moment is 0.09 μB per cell. The value obtained for the formation energy without anion corrections is -1.8865 eV/atom.

The structure belongs to space group I4mm (No. 107); the cell edges are 5.985, 5.985 and 8.644 Å and the angles 90.00°, 90.00° and 90.00°. The inequivalent atoms are K at (0.000, 0.500, 0.000), Au at (0.000, 0.000, 0.267), F at (0.000, 0.000, 0.991) and F at (0.234, 0.234, 0.271).